Below is an optimized crystal structure of GdPu2Os, with properties calculated at the PBE-GGA level.

Unit cell a=3.898 b=3.898 c=8.746 alpha=77.12 beta=77.12 gamma=60.00
Each line ends with the local moment (μB).
Sites, in units of the cell vectors:
1 Gd 0.500 0.500 0.500  7.47
2 Os 0.000 0.000 0.000  -0.61
3 Pu 0.273 0.273 0.181  5.11
4 Pu 0.727 0.727 0.819  5.11

Output
The space-group type is R-3m. The formation energy is 0.20 eV per atom.